First-principles (PBE) data for MgTaIO2 after structural relaxation, as listed in Alexandria.

ΔE to the lowest computed polymorph ... 1282 meV/atom
N(E_F) ... 3.0 states/eV per cell
Symmetry ... P4/mmm, No. 123
Calculated total energy ... -4.922 eV per atom
Formation energy (no corrections) ... 61 meV per atom

POSCAR file:
```
MgTaIO2
1.0
4.0332 0.0000 0.0000
0.0000 4.0332 0.0000
0.0000 0.0000 5.2271
Mg Ta I O
1 1 1 2
direct
0.0000 0.0000 0.0000
0.5000 0.5000 0.5000
0.0000 0.0000 0.5000
0.0000 0.5000 0.0000
0.5000 0.0000 0.0000
```

***

First-principles (PBE) data for Lu2SnAu after structural relaxation, as listed in Alexandria.

N(E_F) ... 2.3 states/eV per cell
Symmetry ... P4/mmm, No. 123
Calculated total energy ... -4.780 eV per atom
DFT formation energy ... -0.699 eV per atom

POSCAR file:
```
Lu2SnAu
1.0
3.5666 0.0000 0.0000
0.0000 3.5666 0.0000
0.0000 0.0000 7.4464
Lu Sn Au
2 1 1
direct
0.0000 0.0000 0.2344
0.0000 0.0000 0.7656
0.5000 0.5000 0.5000
0.5000 0.5000 0.0000
```

***

First-principles (PBE) data for Ho2PuHg after structural relaxation, as listed in Alexandria.

ΔE to the lowest computed polymorph ... 290 meV/atom
N(E_F) ... 11.1 states/eV per cell
Symmetry ... R-3m, No. 166
Calculated total energy ... -5.799 eV per atom
DFT formation energy ... 0.148 eV per atom

POSCAR file:
```
Ho2PuHg
1.0
1.7196 0.9928 11.4746
-1.7196 0.9928 11.4746
0.0000 -1.9857 11.4746
Ho Pu Hg
2 1 1
direct
0.0954 0.0954 0.0954
0.9046 0.9046 0.9046
0.0000 0.0000 0.0000
0.5000 0.5000 0.5000
```

***

First-principles (PBE) data for TaMnCr after structural relaxation, as listed in Alexandria.

ΔE to the lowest computed polymorph ... 277 meV/atom
N(E_F) ... 2.4 states/eV per cell
Symmetry ... P3m1, No. 156
Calculated total energy ... -10.106 eV per atom
DFT formation energy ... 0.110 eV per atom

POSCAR file:
```
TaMnCr
1.0
4.1605 0.0000 0.0000
-2.0803 3.6031 0.0000
0.0000 0.0000 2.7274
Ta Mn Cr
1 1 1
direct
0.0000 0.0000 0.0000
0.3333 0.6667 0.6562
0.6667 0.3333 0.3501
```

***

First-principles (PBE) data for CePm2Ho3P6 after structural relaxation, as listed in Alexandria.

N(E_F) ... 5.2 states/eV per cell
Symmetry ... C2/m, No. 12
Calculated total energy ... -6.718 eV per atom
DFT formation energy ... -1.583 eV per atom

POSCAR file:
```
CePm2Ho3P6
1.0
3.5090 -6.0753 0.0000
3.5090 6.0753 0.0000
-2.3394 0.0000 6.6044
Ce Pm Ho P
1 2 3 6
direct
0.0000 0.0000 0.0000
0.3336 0.6664 0.0000
0.6664 0.3336 0.0000
0.1674 0.8326 0.5000
0.5000 0.5000 0.5000
0.8326 0.1674 0.5000
0.0855 0.4144 0.2569
0.2433 0.2433 0.7440
0.4144 0.0855 0.2569
0.5856 0.9145 0.7431
0.7567 0.7567 0.2560
0.9145 0.5856 0.7431
```

***

First-principles (PBE) data for LaCd3Ir after structural relaxation, as listed in Alexandria.

ΔE to the lowest computed polymorph ... 0 meV/atom
N(E_F) ... 3.1 states/eV per cell
Symmetry ... Pm-3m, No. 221
Calculated total energy ... -3.288 eV per atom
DFT formation energy ... 0.019 eV per atom

POSCAR file:
```
LaCd3Ir
1.0
5.1597 0.0000 0.0000
0.0000 5.1597 0.0000
0.0000 0.0000 5.1597
La Cd Ir
1 3 1
direct
0.0000 0.0000 0.0000
0.0000 0.5000 0.5000
0.5000 0.0000 0.5000
0.5000 0.5000 0.0000
0.5000 0.5000 0.5000
```